(1)
Li5Ca3Sn2: relaxed, PBE.

a b c (Å): 9.7802 9.7802 9.7802
angles (deg): 103.51 87.64 143.87
Closest atoms and distances in Å follow each position.
Atoms (fractional coordinates):
Li 0.1563 0.1702 0.3265  1 Sn 2.77, 2 Li 2.81
Li 0.2500 0.0093 0.7593  5 Li 2.81-3.03, 2 Sn 2.85, 1 Ca 3.14
Li 0.2500 0.2500 0.0000  4 Li 2.91-3.03
Li 0.2500 0.4907 0.2407  5 Li 2.81-3.03, 2 Sn 2.85, 1 Ca 3.14
Li 0.3437 0.6702 0.0139  1 Sn 2.77, 2 Li 2.81
Li 0.6563 0.3298 0.9861  1 Sn 2.77, 2 Li 2.81
Li 0.7500 0.5093 0.7593  5 Li 2.81-3.03, 2 Sn 2.85, 1 Ca 3.14
Li 0.7500 0.7500 0.0000  4 Li 2.91-3.03
Li 0.7500 0.9907 0.2407  5 Li 2.81-3.03, 2 Sn 2.85, 1 Ca 3.14
Li 0.8437 0.8298 0.6735  1 Sn 2.77, 2 Li 2.81
Ca 0.2467 0.9009 0.1476  3 Li 3.11-3.40, 4 Sn 3.26-3.45
Ca 0.2500 0.7500 0.5000  2 Ca 3.03, 2 Li 3.14, 4 Sn 3.21
Ca 0.2533 0.4009 0.6543  3 Li 3.11-3.40, 4 Sn 3.26-3.45
Ca 0.7467 0.5991 0.3457  3 Li 3.11-3.40, 4 Sn 3.26-3.45
Ca 0.7500 0.2500 0.5000  2 Ca 3.03, 2 Li 3.14, 4 Sn 3.21
Ca 0.7533 0.0991 0.8524  3 Li 3.11-3.40, 4 Sn 3.26-3.45
Sn 0.1475 0.6578 0.8053  3 Li 2.77-2.85
Sn 0.3525 0.1578 0.5103  3 Li 2.77-2.85
Sn 0.6475 0.8422 0.4897  3 Li 2.77-2.85
Sn 0.8525 0.3422 0.1947  3 Li 2.77-2.85

Output
- symmetry = Ibam
- size of the total moment (Bohr magnetons per cell) = 0.0
- raw total energy (eV per atom) = -2.63

(2)
Li4CaSn5: relaxed, PBE.

a b c (Å): 3.5495 3.5495 17.4848
angles (deg): 90.00 90.00 90.00
Closest atoms and distances in Å follow each position.
Atoms (fractional coordinates):
Li 0.0000 0.0000 0.0954  8 Sn 3.00-3.01, 2 Li 3.25-3.34
Li 0.0000 0.0000 0.2813  8 Sn 2.98-3.00, 1 Li 3.25
Li 0.0000 0.0000 0.7187  8 Sn 2.98-3.00, 1 Li 3.25
Li 0.0000 0.0000 0.9046  8 Sn 3.00-3.01, 2 Li 3.25-3.34
Ca 0.0000 0.0000 0.5000  8 Sn 3.32, 4 Ca 3.55
Sn 0.5000 0.5000 0.0000  8 Li 3.01, 2 Sn 3.32
Sn 0.5000 0.5000 0.1897  8 Li 2.98-3.00, 2 Sn 3.24-3.32
Sn 0.5000 0.5000 0.3753  4 Li 3.00, 1 Sn 3.24, 4 Ca 3.32
Sn 0.5000 0.5000 0.6247  4 Li 3.00, 1 Sn 3.24, 4 Ca 3.32
Sn 0.5000 0.5000 0.8103  8 Li 2.98-3.00, 2 Sn 3.24-3.32

Output
- symmetry = P4/mmm
- size of the total moment (Bohr magnetons per cell) = 0.0
- raw total energy (eV per atom) = -3.33

(3)
LiCa2Sn3: relaxed, PBE.

a b c (Å): 6.1421 6.1421 7.5688
angles (deg): 124.78 124.78 46.44
Closest atoms and distances in Å follow each position.
Atoms (fractional coordinates):
Li 0.0000 0.0000 0.0000  4 Sn 2.80-2.92
Ca 0.2763 0.2763 0.6021  7 Sn 3.31-3.48, 3 Li 3.45-3.58
Ca 0.3780 0.3780 0.2165  7 Sn 3.22-3.43, 1 Li 3.50
Sn 0.6524 0.6524 0.1902  2 Li 2.80, 2 Sn 3.02-3.04
Sn 0.6864 0.6864 0.8219  1 Li 2.90, 3 Sn 3.03-3.04
Sn 0.9819 0.9819 0.5986  1 Li 2.92, 3 Sn 3.02-3.03

Output
- symmetry = Cm
- size of the total moment (Bohr magnetons per cell) = 0.0
- raw total energy (eV per atom) = -3.48

Ordered calculated formation energy results: -270; -366; -494; unit meV per atom.